# 1
Here is an optimized crystal structure of Mg14AlFe from Alexandria via LeMat-Bulk. Energies are from GGA-PBE.

a = 6.224 Å, b = 6.224 Å, c = 10.091 Å
α = 90.00°, β = 90.00°, γ = 120.00°
Each line ends with the local moment (μB).
Fractional coordinates of all 16 atoms:
Mg 0.001 0.501 0.000  0.00
Mg 0.998 0.499 0.500  -0.01
Mg 0.499 0.999 0.000  0.00
Mg 0.501 0.002 0.500  -0.01
Mg 0.499 0.501 0.000  0.00
Mg 0.501 0.499 0.500  -0.01
Mg 0.161 0.839 0.257  -0.01
Mg 0.161 0.839 0.743  -0.01
Mg 0.161 0.323 0.257  -0.01
Mg 0.161 0.323 0.743  -0.01
Mg 0.677 0.839 0.257  -0.01
Mg 0.677 0.839 0.743  -0.01
Mg 0.667 0.333 0.249  0.01
Mg 0.667 0.333 0.751  0.01
Al 0.000 0.000 0.000  -0.01
Fe 0.000 0.000 0.500  2.64

Symmetry: P-6m2, No. 187
Magnetic moment in μB per formula unit: 2.14
Polymorph energy (0 for the lowest one) in eV/atom: 0.005
Mass density in g cm⁻³: 2.08
N(E_F) in states/eV/atom: 0.591
Total energy in Ry/atom: -0.15328

***

# 2
Here is an optimized crystal structure of TiB2Au from Alexandria via LeMat-Bulk. Energies are from GGA-PBE.

a = 3.810 Å, b = 3.810 Å, c = 8.026 Å
α = 76.27°, β = 76.27°, γ = 90.00°
Each line ends with the local moment (μB).
Fractional coordinates of all 8 atoms:
B 0.874 0.125 0.250  0.00
B 0.876 0.625 0.250  0.00
B 0.375 0.126 0.750  0.00
B 0.875 0.124 0.750  0.00
Au 0.000 0.000 0.000  0.02
Au 0.750 0.250 0.500  0.02
Ti 0.500 0.500 0.000  0.22
Ti 0.250 0.750 0.500  0.22

Symmetry: I4_1/amd, No. 141
Magnetic moment in μB per formula unit: 0.28
Polymorph energy (0 for the lowest one) in eV/atom: 0.000
Mass density in g cm⁻³: 8.06
N(E_F) in states/eV/atom: 1.014
Total energy in Ry/atom: -0.40920

***

# 3
Here is an optimized crystal structure of BaHfSi2S8 from Alexandria via LeMat-Bulk. Energies are from GGA-PBE.

a = 6.095 Å, b = 6.095 Å, c = 8.854 Å
α = 90.00°, β = 90.00°, γ = 120.00°
Each line ends with the local moment (μB).
Fractional coordinates of all 12 atoms:
Ba 0.000 0.000 0.000  0.01
Hf 0.000 0.000 0.500  -0.01
Si 0.667 0.333 0.262  -0.01
Si 0.333 0.667 0.738  -0.01
S 0.333 0.667 0.977  0.27
S 0.328 0.334 0.325  0.09
S 0.666 0.995 0.325  0.09
S 0.667 0.333 0.023  0.27
S 0.334 0.005 0.675  0.09
S 0.672 0.666 0.675  0.09
S 0.995 0.328 0.675  0.09
S 0.005 0.672 0.325  0.09

Symmetry: P-3, No. 147
Magnetic moment in μB per formula unit: 1.74
Mass density in g cm⁻³: 3.66
N(E_F) in states/eV/atom: 1.099
Total energy in Ry/atom: -0.40650

***

- What is the magnetic moment in the first record?
  2.14 μB per formula unit

***

- The lowest total energy belongs to which entry?
  TiB2Au

***

- What is the total energy in the first record?
  -0.15328 Ry/atom

***

- Among the records above, which one has the highest total energy?
  Mg14AlFe